This record from Alexandria via LeMat-Bulk describes a geometry-optimized CrPdW3 structure. The functional is PBE-GGA.

Unit cell a=4.4658 b=4.4658 c=4.4658 alpha=90.00 beta=90.00 gamma=90.00
With the nearest neighbours (Å) after each atom.
Fractional positions:
Cr1 0.0000 0.0000 0.0000  6 W 2.23
Pd1 0.5000 0.5000 0.5000  12 W 3.16
W1 0.0000 0.0000 0.5000  2 Cr 2.23
W2 0.0000 0.5000 0.0000  2 Cr 2.23
W3 0.5000 0.0000 0.0000  2 Cr 2.23

- crystal system = cubic
- relative energy among the computed polymorphs (meV/atom) = 0
- E_form (eV/atom) = 1.4103
- magnetic moment (Bohr magnetons per cell) = 0.000



This record from Alexandria via LeMat-Bulk describes a geometry-optimized SmYHoAl structure. The functional is PBE-GGA.

Unit cell a=3.5279 b=3.5279 c=9.0571 alpha=90.00 beta=90.00 gamma=90.00
With the nearest neighbours (Å) after each atom.
Fractional positions:
Sm1 0.0000 0.0000 0.0000  4 Sm 3.53, 4 Ho 3.60, 4 Y 3.64
Y1 0.5000 0.5000 0.7074  4 Al 3.15
Ho1 0.5000 0.5000 0.2862  4 Al 3.13
Al1 0.0000 0.0000 0.4957  4 Ho 3.13, 4 Y 3.15

- crystal system = tetragonal
- relative energy among the computed polymorphs (meV/atom) = 0
- E_form (eV/atom) = -0.1994
- magnetic moment (Bohr magnetons per cell) = 0.000



This record from Alexandria via LeMat-Bulk describes a geometry-optimized Cd3GeBi structure. The functional is PBE-GGA.

Unit cell a=5.7914 b=5.7914 c=5.7914 alpha=90.00 beta=90.00 gamma=90.00
With the nearest neighbours (Å) after each atom.
Fractional positions:
Cd1 0.0000 0.0000 0.5000  2 Bi 2.90
Cd2 0.0000 0.5000 0.0000  2 Bi 2.90
Cd3 0.5000 0.0000 0.0000  2 Bi 2.90
Ge1 0.5000 0.5000 0.5000  12 Cd 4.10
Bi1 0.0000 0.0000 0.0000  6 Cd 2.90

- crystal system = cubic
- relative energy among the computed polymorphs (meV/atom) = 385
- E_form (eV/atom) = 0.7499
- magnetic moment (Bohr magnetons per cell) = 1.829